(1)
Computed, not measured: a geometry-optimized BaSiSb structure at the GGA-PBE level of DFT.

Calculated values
Raw total energy ... -10.40 eV/cell
Calculated density ... 4231 kg/m3
Offset from the most stable computed form ... 2.310 eV per formula unit
Crystal system ... cubic
V ... 112.7 Å³ per cell

```
data_BaSiSb
_symmetry_space_group_name_H-M 'P 1'
_symmetry_Int_Tables_number 1
_cell_length_a 5.4220
_cell_length_b 5.4220
_cell_length_c 5.4220
_cell_angle_alpha 60.00
_cell_angle_beta 60.00
_cell_angle_gamma 60.00
loop_
_symmetry_equiv_pos_as_xyz
'x,y,z'
loop_
_atom_site_label
_atom_site_fract_x
_atom_site_fract_y
_atom_site_fract_z
Sb1 0.0000 0.0000 0.0000
Ba1 0.7500 0.7500 0.7500
Si1 0.5000 0.5000 0.5000
```


(2)
Computed, not measured: a geometry-optimized Ba4SiSb4 structure at the GGA-PBE level of DFT.

Calculated values
Raw total energy ... -74.30 eV/cell
Calculated density ... 4884 kg/m3
Crystal system ... tetragonal
V ... 723.8 Å³ per cell

```
data_Ba4SiSb4
_symmetry_space_group_name_H-M 'P 1'
_symmetry_Int_Tables_number 1
_cell_length_a 7.2417
_cell_length_b 9.9974
_cell_length_c 9.9974
_cell_angle_alpha 90.00
_cell_angle_beta 90.00
_cell_angle_gamma 90.00
loop_
_symmetry_equiv_pos_as_xyz
'x,y,z'
loop_
_atom_site_label
_atom_site_fract_x
_atom_site_fract_y
_atom_site_fract_z
Ba1 0.3081 0.7361 0.0002
Sb1 0.3011 0.4998 0.2749
Ba2 0.3081 0.2639 0.9998
Si1 0.5000 0.5000 0.5000
Sb2 0.6989 0.7251 0.4998
Ba3 0.1919 0.2361 0.5002
Si2 0.0000 0.0000 0.0000
Sb3 0.1989 0.9998 0.7749
Sb4 0.8011 0.2251 0.9998
Sb5 0.8011 0.7749 0.0002
Ba4 0.8081 0.5002 0.7639
Sb6 0.6989 0.2749 0.5002
Ba5 0.1919 0.7639 0.4998
Sb7 0.3011 0.5002 0.7251
Ba6 0.6919 0.0002 0.2639
Sb8 0.1989 0.0002 0.2251
Ba7 0.8081 0.4998 0.2361
Ba8 0.6919 0.9998 0.7361
```


(3)
Computed, not measured: a geometry-optimized BaSiSb structure at the GGA-PBE level of DFT.

Calculated values
Raw total energy ... -25.18 eV/cell
Calculated density ... 4806 kg/m3
Offset from the most stable computed form ... 0.124 eV per formula unit
Crystal system ... monoclinic
V ... 198.5 Å³ per cell

```
data_BaSiSb
_symmetry_space_group_name_H-M 'P 1'
_symmetry_Int_Tables_number 1
_cell_length_a 5.1464
_cell_length_b 5.1481
_cell_length_c 10.6772
_cell_angle_alpha 76.66
_cell_angle_beta 76.66
_cell_angle_gamma 46.45
loop_
_symmetry_equiv_pos_as_xyz
'x,y,z'
loop_
_atom_site_label
_atom_site_fract_x
_atom_site_fract_y
_atom_site_fract_z
Si1 0.8222 0.4437 0.5215
Sb1 0.0734 0.6930 0.9810
Ba1 0.5679 0.1891 0.3042
Sb2 0.3468 0.9668 0.0728
Si2 0.1924 0.8139 0.5146
Ba2 0.4510 0.0725 0.7271
```


(4)
Computed, not measured: a geometry-optimized Ba3SiSb structure at the GGA-PBE level of DFT.

Calculated values
Raw total energy ... -16.98 eV/cell
Calculated density ... 3960 kg/m3
Offset from the most stable computed form ... 1.259 eV per formula unit
Crystal system ... cubic
V ... 235.6 Å³ per cell

```
data_Ba3SiSb
_symmetry_space_group_name_H-M 'P 1'
_symmetry_Int_Tables_number 1
_cell_length_a 6.1762
_cell_length_b 6.1762
_cell_length_c 6.1762
_cell_angle_alpha 90.00
_cell_angle_beta 90.00
_cell_angle_gamma 90.00
loop_
_symmetry_equiv_pos_as_xyz
'x,y,z'
loop_
_atom_site_label
_atom_site_fract_x
_atom_site_fract_y
_atom_site_fract_z
Ba1 0.0000 0.0000 0.5000
Ba2 0.5000 0.0000 0.0000
Sb1 0.5000 0.5000 0.5000
Ba3 0.0000 0.5000 0.0000
Si1 0.0000 0.0000 0.0000
```


(5)
Computed, not measured: a geometry-optimized Ba3SiSb structure at the GGA-PBE level of DFT.

Calculated values
Raw total energy ... -36.47 eV/cell
Calculated density ... 4537 kg/m3
Offset from the most stable computed form ... 0.000 eV per formula unit
Crystal system ... monoclinic
V ... 411.2 Å³ per cell

```
data_Ba3SiSb
_symmetry_space_group_name_H-M 'P 1'
_symmetry_Int_Tables_number 1
_cell_length_a 4.5014
_cell_length_b 7.2000
_cell_length_c 12.9691
_cell_angle_alpha 96.47
_cell_angle_beta 99.99
_cell_angle_gamma 90.00
loop_
_symmetry_equiv_pos_as_xyz
'x,y,z'
loop_
_atom_site_label
_atom_site_fract_x
_atom_site_fract_y
_atom_site_fract_z
Si1 0.2379 0.0798 0.4758
Ba1 0.6375 0.0575 0.2749
Ba2 0.0005 0.2702 0.0009
Si2 0.7621 0.9202 0.5242
Ba3 0.9995 0.7298 0.9991
Sb1 0.5877 0.5374 0.1755
Ba4 0.1890 0.6128 0.3781
Ba5 0.8110 0.3872 0.6219
Ba6 0.3625 0.9425 0.7251
Sb2 0.4123 0.4626 0.8245
```


(6)
Computed, not measured: a geometry-optimized BaSiSb structure at the GGA-PBE level of DFT.

Calculated values
Raw total energy ... -12.71 eV/cell
Calculated density ... 4869 kg/m3
Offset from the most stable computed form ... 0.000 eV per formula unit
Crystal system ... hexagonal
V ... 97.9 Å³ per cell

```
data_BaSiSb
_symmetry_space_group_name_H-M 'P 1'
_symmetry_Int_Tables_number 1
_cell_length_a 4.8238
_cell_length_b 4.8238
_cell_length_c 4.8603
_cell_angle_alpha 90.00
_cell_angle_beta 90.00
_cell_angle_gamma 120.00
loop_
_symmetry_equiv_pos_as_xyz
'x,y,z'
loop_
_atom_site_label
_atom_site_fract_x
_atom_site_fract_y
_atom_site_fract_z
Si1 0.3333 0.6667 0.5000
Sb1 0.6667 0.3333 0.5000
Ba1 0.0000 0.0000 0.0000
```


(7)
Computed, not measured: a geometry-optimized BaSiSb structure at the GGA-PBE level of DFT.

Calculated values
Raw total energy ... -12.29 eV/cell
Calculated density ... 5398 kg/m3
Offset from the most stable computed form ... 0.421 eV per formula unit
Crystal system ... orthorhombic
V ... 88.3 Å³ per cell

```
data_BaSiSb
_symmetry_space_group_name_H-M 'P 1'
_symmetry_Int_Tables_number 1
_cell_length_a 6.5513
_cell_length_b 6.4697
_cell_length_c 3.8721
_cell_angle_alpha 73.86
_cell_angle_beta 71.55
_cell_angle_gamma 34.59
loop_
_symmetry_equiv_pos_as_xyz
'x,y,z'
loop_
_atom_site_label
_atom_site_fract_x
_atom_site_fract_y
_atom_site_fract_z
Si1 0.7080 0.7080 0.2920
Sb1 0.2906 0.2906 0.7094
Ba1 0.0013 0.0013 0.9987
```


(8)
Computed, not measured: a geometry-optimized BaSi3Sb structure at the GGA-PBE level of DFT.

Calculated values
Raw total energy ... -19.23 eV/cell
Calculated density ... 3803 kg/m3
Offset from the most stable computed form ... 0.000 eV per formula unit
Crystal system ... cubic
V ... 149.9 Å³ per cell

```
data_BaSi3Sb
_symmetry_space_group_name_H-M 'P 1'
_symmetry_Int_Tables_number 1
_cell_length_a 5.3125
_cell_length_b 5.3125
_cell_length_c 5.3125
_cell_angle_alpha 90.00
_cell_angle_beta 90.00
_cell_angle_gamma 90.00
loop_
_symmetry_equiv_pos_as_xyz
'x,y,z'
loop_
_atom_site_label
_atom_site_fract_x
_atom_site_fract_y
_atom_site_fract_z
Sb1 0.0000 0.0000 0.0000
Si1 0.0000 0.5000 0.0000
Si2 0.5000 0.0000 0.0000
Si3 0.0000 0.0000 0.5000
Ba1 0.5000 0.5000 0.5000
```


- Among the records above, which one has the lowest calculated density?
  BaSi3Sb


- Look up the V of the second one.
  723.8 Å³ per cell